(1)
3
Lattice="4.773 0.000 0.000 2.387 4.134 0.000 2.387 1.378 3.897" Properties=species:S:1:pos:R:3 comment="PBE LaPAu, relaxed" e_form_kj_per_mol_fu=-184.2 pbc="T T T"
Au 7.160 4.134 2.923
La 0.000 0.000 0.000
P 4.773 2.756 1.949

(2)
5
Lattice="4.652 0.000 0.000 0.000 4.652 0.000 0.000 0.000 4.652" Properties=species:S:1:pos:R:3 comment="PBE Y3OsO, relaxed" e_form_raw_ev_per_atom=-1.09 pbc="T T T"
Y 0.000 2.326 0.000
Y 0.000 0.000 2.326
Y 2.326 0.000 0.000
Os 2.326 2.326 2.326
O 0.000 0.000 0.000

(3)
4
Lattice="5.599 0.000 0.000 2.800 4.849 0.000 2.800 1.616 4.572" Properties=species:S:1:pos:R:3 comment="PBE LaTbHoMg, relaxed" e_form_kj_per_mol_fu=10.8 e_above_lowest_polymorph_ev_per_atom=0.046 pbc="T T T"
Mg 8.399 4.849 3.429
Tb 0.000 0.000 0.000
Ho 2.800 1.616 1.143
La 5.599 3.233 2.286

(4)
12
Lattice="4.374 0.000 0.000 0.000 7.931 -0.085 0.000 -3.374 10.762" Properties=species:S:1:pos:R:3 comment="PBE UTe3Au2, relaxed" e_form_raw_ev_per_atom=-0.33 e_above_lowest_polymorph_ev_per_atom=0.002 pbc="T T T"
U 1.094 5.576 3.199
U 3.281 -1.020 7.478
Te 3.281 7.022 1.511
Te 1.094 -2.466 9.166
Te 3.281 1.679 8.775
Te 1.094 2.877 1.902
Te 1.094 0.503 5.719
Te 3.281 4.053 4.958
Au 1.094 0.283 9.758
Au 3.281 4.273 0.919
Au 3.281 -0.364 4.289
Au 1.094 4.920 6.388

(5)
6
Lattice="8.656 0.000 0.001 0.000 4.104 0.000 0.004 0.000 2.816" Properties=species:S:1:pos:R:3 comment="PBE TiAlAg, relaxed" e_form_kj_per_mol_fu=-50.3 pbc="T T T"
Al 8.207 3.580 1.127
Al 5.378 3.580 1.130
Ag 2.424 3.580 1.121
Ag 3.998 1.528 2.530
Ti 0.954 1.528 2.531
Ti 6.860 1.528 2.538

(6)
24
Lattice="-4.616 -0.849 -1.930 1.615 -6.965 -0.800 -3.780 -2.016 9.925" Properties=species:S:1:pos:R:3 comment="PBE Nd3NO2, relaxed" e_form_raw_ev_per_atom=-2.34 pbc="T T T"
Nd -2.345 -5.716 4.784
Nd -4.432 -2.916 8.543
Nd -3.614 -6.443 8.139
Nd -3.141 -2.278 5.177
Nd -1.092 -5.069 1.509
Nd -1.893 -1.583 1.891
Nd -4.888 -8.247 5.305
Nd -5.688 -4.761 5.686
Nd -3.639 -7.551 2.018
Nd -3.166 -3.386 -0.944
Nd -2.349 -6.913 -1.348
Nd -4.436 -4.114 2.411
N -0.053 -6.456 -0.368
N -2.131 -3.652 3.369
N -4.649 -6.178 3.826
N -6.727 -3.373 7.563
O -2.589 -7.822 6.289
O -3.375 -4.329 6.633
O -1.313 -7.149 2.949
O -0.863 -2.997 0.048
O -5.917 -6.833 7.147
O -5.468 -2.680 4.246
O -3.405 -5.501 0.562
O -4.192 -2.007 0.906

(7)
5
Lattice="-2.697 -3.763 -0.927 -0.141 -1.033 4.605 -3.873 2.658 0.477" Properties=species:S:1:pos:R:3 comment="PBE NbVMo3, relaxed" e_form_kj_per_mol_fu=923.8 e_above_lowest_polymorph_ev_per_atom=2.024 pbc="T T T"
Mo -0.071 -0.516 2.303
Mo -1.937 1.329 0.239
Mo -1.348 -1.882 -0.463
Nb 0.000 0.000 0.000
V -3.356 -1.069 2.078

(8)
5
Lattice="4.808 0.518 -0.549 -0.583 4.801 -0.549 -1.652 -2.080 5.354" Properties=species:S:1:pos:R:3 comment="PBE Li2AcAl2, relaxed" e_form_kj_per_mol_fu=-73.9 e_above_lowest_polymorph_ev_per_atom=0.040 pbc="T T T"
Li 3.461 1.588 -0.549
Li 0.764 3.731 -0.549
Ac -0.826 -1.040 2.677
Al 1.406 1.770 3.374
Al 1.167 1.469 0.882